[1]
VASP calculation (PBE) on crystalline Ti2CuO at its relaxed geometry.

a = 5.9017 Å, b = 5.9017 Å, c = 5.2725 Å
α = 55.97°, β = 55.97°, γ = 90.00°
Fractional positions:
Ti1 0.8750 0.7958 0.7500
Ti2 0.3750 0.4542 0.7500
Ti3 0.5458 0.1250 0.2500
Cu1 0.7500 0.2500 0.5000
Ti4 0.2042 0.6250 0.2500
O1 0.2500 0.7500 0.5000
Cu2 0.0000 0.0000 0.0000
O2 0.5000 0.5000 0.0000

* formation energy (no corrections): -989 meV/atom

=====

[2]
VASP calculation (PBE) on crystalline TiTl2CuO4 at its relaxed geometry.

a = 5.1366 Å, b = 6.5755 Å, c = 10.3910 Å
α = 84.46°, β = 75.69°, γ = 67.01°
Last column: magnetic moment on the atom in μB.
Fractional positions:
Tl1 0.1675 0.0000 0.6649  0.01
Cu1 0.5000 0.0000 0.0000  0.50
O1 0.6434 0.1528 0.1077  0.11
Cu2 0.2500 0.5000 0.5000  0.50
Ti1 0.0000 0.0000 0.0000  -0.04
Tl2 0.8325 0.0000 0.3351  0.01
O2 0.2039 0.1528 0.8923  0.11
O3 0.9039 0.8472 0.8923  0.11
O4 0.8461 0.6528 0.6077  0.11
O5 0.5461 0.3472 0.6077  0.11
O6 0.5011 0.6528 0.3923  0.11
O7 0.1066 0.3472 0.3923  0.11
Tl3 0.9175 0.5000 0.1649  0.01
Ti2 0.7500 0.5000 0.5000  -0.04
O8 0.2489 0.8472 0.1077  0.11
Tl4 0.5825 0.5000 0.8351  0.01

* formation energy (no corrections): -1339 meV/atom

=====

[3]
VASP calculation (PBE) on crystalline Tm2Ti12Cu9O36 at its relaxed geometry.

a = 6.4462 Å, b = 10.5031 Å, c = 10.5031 Å
α = 120.00°, β = 90.00°, γ = 90.00°
Last column: magnetic moment on the atom in μB.
Fractional positions:
O1 0.5899 0.9554 0.2253  0.06
O2 0.2497 0.6255 0.5492  0.08
O3 0.1693 0.1652 0.0165  0.06
Ti1 0.3376 0.8383 0.6807  0.07
O4 0.8307 0.0165 0.8513  0.06
O5 0.4101 0.2253 0.2699  0.06
O6 0.9115 0.5868 0.7068  0.09
O7 0.5180 0.4899 0.6830  0.08
O8 0.0885 0.7068 0.1200  0.09
O9 0.7503 0.5492 0.9237  0.08
Ti2 0.3376 0.3193 0.1576  0.07
O10 0.2497 0.4508 0.0763  0.08
Ti3 0.0000 0.5000 0.0000  0.07
Ti4 0.0000 0.5000 0.5000  0.07
O11 0.0885 0.4132 0.2932  0.09
O12 0.5899 0.2699 0.0446  0.06
O13 0.0885 0.8800 0.5868  0.09
O14 0.8307 0.8348 0.9835  0.06
O15 0.8560 0.8227 0.3506  0.08
Ti5 0.6577 0.6667 0.3333  0.07
Cu1 0.8399 0.3375 0.1686  0.56
O16 0.1440 0.1773 0.6494  0.08
O17 0.9115 0.2932 0.8800  0.09
O18 0.5180 0.1931 0.5101  0.08
O19 0.2497 0.9237 0.3745  0.08
O20 0.1440 0.4721 0.8227  0.08
Ti6 0.6624 0.1576 0.8383  0.07
Cu2 0.1601 0.1686 0.8311  0.56
Tm1 0.1684 0.6667 0.3333  -0.01
O21 0.4101 0.0446 0.7747  0.06
Ti7 0.0000 0.0000 0.5000  0.07
Cu3 0.8399 0.8311 0.6625  0.56
Ti8 0.0000 0.0000 0.0000  0.07
O22 0.4820 0.5101 0.3170  0.08
O23 0.4820 0.8069 0.4899  0.08
Cu4 0.5000 0.0000 0.5000  0.55
Ti9 0.6624 0.6807 0.8424  0.07
Cu5 0.1601 0.6625 0.8314  0.56
O24 0.8307 0.1487 0.1652  0.06
Ti10 0.3376 0.8424 0.1617  0.07
O25 0.5180 0.3170 0.8069  0.08
O26 0.4820 0.6830 0.1931  0.08
Cu6 0.5000 0.5000 0.0000  0.55
O27 0.9115 0.1200 0.4132  0.09
Ti11 0.3423 0.3333 0.6667  0.07
O28 0.7503 0.0763 0.6255  0.08
Cu7 0.8399 0.8314 0.1689  0.56
Cu8 0.5000 0.5000 0.5000  0.55
O29 0.8560 0.6494 0.4721  0.08
O30 0.1693 0.8513 0.8348  0.06
Ti12 0.6624 0.1617 0.3193  0.07
O31 0.4101 0.7301 0.9554  0.06
O32 0.8560 0.5279 0.1773  0.08
Tm2 0.8316 0.3333 0.6667  -0.01
O33 0.5899 0.7747 0.7301  0.06
O34 0.7503 0.3745 0.4508  0.08
O35 0.1440 0.3506 0.5279  0.08
O36 0.1693 0.9835 0.1487  0.06
Cu9 0.1601 0.1689 0.3375  0.56

* formation energy (no corrections): -2285 meV/atom